one) DFT (PBE) results for crystalline TbNbOs at its relaxed geometry.

a = 3.2807 Å, b = 3.2807 Å, c = 6.0068 Å
α = 105.85°, β = 105.85°, γ = 90.00°
Last column: nearest neighbours and their distance in Å.
Positions (direct):
Os 0.3151 0.3151 0.6303  4 Nb 2.70
Nb 0.6906 0.6906 0.3811  4 Os 2.70
Tb 0.9943 0.9943 0.9886  4 Os 3.05, 5 Nb 3.18-3.37, 4 Tb 3.28

total magnetization	0.00	μB/atom

***

two) DFT (PBE) results for crystalline TbNbOs at its relaxed geometry.

a = 5.7636 Å, b = 5.4723 Å, c = 5.4723 Å
α = 62.41°, β = 58.22°, γ = 58.22°
Last column: nearest neighbours and their distance in Å.
Positions (direct):
Tb 0.8873 0.3627 0.3627  6 Os 3.04-3.34, 6 Nb 3.19-3.32, 2 Tb 3.29
Tb 0.1127 0.6373 0.6373  6 Os 3.04-3.34, 6 Nb 3.19-3.32, 2 Tb 3.29
Nb 0.5000 0.5000 0.0000  4 Os 2.74, 2 Nb 2.84
Nb 0.5000 0.0000 0.5000  4 Os 2.74, 2 Nb 2.84
Os 0.0000 0.0000 0.0000  4 Nb 2.74, 2 Os 2.88, 2 Tb 3.04
Os 0.5000 0.0000 0.0000  4 Nb 2.74, 2 Os 2.88, 2 Tb 3.04

total magnetization	0.00	μB/atom

***

Which structure is the most stable? The one labeled two).

***

one) DFT (PBE) results for crystalline NbTcOs3 at its relaxed geometry.

a = 4.4374 Å, b = 5.5138 Å, c = 6.7542 Å
α = 90.00°, β = 109.12°, γ = 90.00°
Last column: nearest neighbours and their distance in Å.
Positions (direct):
Nb 0.4988 0.2500 0.4975  2 Tc 2.72-2.73, 6 Os 2.73-2.85, 2 Nb 2.76
Nb 0.5012 0.7500 0.5025  2 Tc 2.72-2.73, 6 Os 2.73-2.85, 2 Nb 2.76
Tc 0.1231 0.2500 0.7458  8 Os 2.71-2.77, 2 Nb 2.72-2.73
Tc 0.8769 0.7500 0.2542  8 Os 2.71-2.77, 2 Nb 2.72-2.73
Os 0.3056 0.0002 0.1114  7 Os 2.63-2.76, 3 Tc 2.71-2.77, 2 Nb 2.82-2.85
Os 0.6944 0.5002 0.8886  7 Os 2.63-2.76, 3 Tc 2.71-2.77, 2 Nb 2.82-2.85
Os 0.1268 0.7500 0.7533  6 Os 2.67-2.75, 2 Nb 2.73-2.74, 2 Tc 2.76
Os 0.8732 0.2500 0.2467  6 Os 2.67-2.75, 2 Nb 2.73-2.74, 2 Tc 2.76
Os 0.6944 0.9998 0.8886  7 Os 2.63-2.76, 3 Tc 2.71-2.77, 2 Nb 2.82-2.85
Os 0.3056 0.4998 0.1114  7 Os 2.63-2.76, 3 Tc 2.71-2.77, 2 Nb 2.82-2.85

total magnetization	0.00	μB/atom

***

two) DFT (PBE) results for crystalline NbTcOs3 at its relaxed geometry.

a = 4.6955 Å, b = 4.6955 Å, c = 4.6955 Å
α = 90.00°, β = 90.00°, γ = 90.00°
Last column: nearest neighbours and their distance in Å.
Positions (direct):
Nb 0.0000 0.0000 0.0000  6 Os 2.35
Os 0.0000 0.5000 0.0000  2 Nb 2.35
Os 0.0000 0.0000 0.5000  2 Nb 2.35
Os 0.5000 0.0000 0.0000  2 Nb 2.35
Tc 0.5000 0.5000 0.5000  12 Os 3.32

total magnetization	0.58	μB/atom

***

Which structure is the most stable? The one labeled one).

***

one) DFT (PBE) results for crystalline Nb6TcOs at its relaxed geometry.

a = 4.5910 Å, b = 5.6155 Å, c = 5.6155 Å
α = 109.45°, β = 90.00°, γ = 90.00°
Last column: nearest neighbours and their distance in Å.
Positions (direct):
Nb 0.5000 0.1250 0.3750  2 Tc 2.81, 2 Os 2.81, 4 Nb 2.81
Nb 0.5000 0.6250 0.8750  2 Tc 2.81, 2 Os 2.81, 4 Nb 2.81
Nb 0.0000 0.3738 0.1237  2 Tc 2.81, 4 Nb 2.81, 2 Os 2.82
Nb 0.0000 0.8763 0.6262  2 Tc 2.81, 4 Nb 2.81, 2 Os 2.82
Nb 0.0000 0.3757 0.6243  8 Nb 2.81
Nb 0.0000 0.8743 0.1257  8 Nb 2.81
Tc 0.5000 0.1250 0.8750  8 Nb 2.81
Os 0.5000 0.6250 0.3750  8 Nb 2.81-2.82

total magnetization	0.00	μB/atom

***

two) DFT (PBE) results for crystalline Nb6TcOs at its relaxed geometry.

a = 7.3242 Å, b = 7.3285 Å, c = 5.1766 Å
α = 45.00°, β = 45.03°, γ = 59.98°
Last column: nearest neighbours and their distance in Å.
Positions (direct):
Nb 0.0004 0.4999 0.7496  2 Nb 2.59, 1 Tc 2.89, 2 Os 2.90
Nb 0.7504 0.0003 0.7492  2 Nb 2.59-2.60, 2 Os 2.89, 1 Tc 2.90
Nb 0.5002 0.2498 0.2500  2 Nb 2.59, 2 Tc 2.89-2.90, 2 Os 2.89-2.90
Nb 0.2496 0.9997 0.2508  2 Nb 2.59-2.60, 2 Os 2.89, 1 Tc 2.90
Nb 0.9996 0.5001 0.2504  2 Nb 2.59, 1 Tc 2.89, 2 Os 2.90
Nb 0.4998 0.7502 0.7500  2 Nb 2.59, 2 Tc 2.89-2.90, 2 Os 2.89-2.90
Tc 0.5000 0.5000 0.5000  12 Nb 2.89-2.90
Os 0.0000 0.0000 0.0000  12 Nb 2.89-2.90

total magnetization	0.00	μB/atom

***

Which structure is the most stable? The one labeled one).

***

one) DFT (PBE) results for crystalline NbTcOs at its relaxed geometry.

a = 3.1828 Å, b = 3.1828 Å, c = 5.2073 Å
α = 107.79°, β = 107.79°, γ = 90.00°
Last column: nearest neighbours and their distance in Å.
Positions (direct):
Nb 0.9485 0.9485 0.8970  4 Tc 2.69, 4 Os 2.72
Os 0.6105 0.6105 0.2211  4 Nb 2.72, 5 Tc 2.82-3.00
Tc 0.2910 0.2910 0.5819  4 Nb 2.69, 5 Os 2.82-3.00

total magnetization	0.00	μB/atom

***

two) DFT (PBE) results for crystalline NbTcOs at its relaxed geometry.

a = 3.9580 Å, b = 3.9580 Å, c = 6.9422 Å
α = 106.56°, β = 106.56°, γ = 90.00°
Last column: nearest neighbours and their distance in Å.
Positions (direct):
Tc 0.1442 0.1442 0.2884  5 Nb 2.56-2.80, 4 Os 2.70
Tc 0.8558 0.8558 0.7116  5 Nb 2.56-2.80, 4 Os 2.70
Os 0.0000 0.5000 0.0000  4 Tc 2.70, 4 Nb 2.79, 4 Os 2.80
Os 0.5000 0.0000 0.0000  4 Tc 2.70, 4 Nb 2.79, 4 Os 2.80
Nb 0.6543 0.6543 0.3086  5 Tc 2.56-2.80, 4 Os 2.79
Nb 0.3457 0.3457 0.6914  5 Tc 2.56-2.80, 4 Os 2.79

total magnetization	0.00	μB/atom

***

Which structure is the most stable? The one labeled one).

***

one) DFT (PBE) results for crystalline TiNbTcOs at its relaxed geometry.

a = 4.4490 Å, b = 4.4490 Å, c = 4.4490 Å
α = 60.00°, β = 60.00°, γ = 60.00°
Last column: nearest neighbours and their distance in Å.
Positions (direct):
Nb 0.7500 0.7500 0.7500  4 Tc 2.72, 4 Os 2.72
Os 0.5000 0.5000 0.5000  4 Nb 2.72, 4 Ti 2.72
Tc 0.0000 0.0000 0.0000  4 Ti 2.72, 4 Nb 2.72
Ti 0.2500 0.2500 0.2500  4 Os 2.72, 4 Tc 2.72

total magnetization	0.00	μB/atom

***

two) DFT (PBE) results for crystalline TiNbTcOs at its relaxed geometry.

a = 3.1467 Å, b = 3.1467 Å, c = 6.2877 Å
α = 90.00°, β = 90.00°, γ = 90.00°
Last column: nearest neighbours and their distance in Å.
Positions (direct):
Ti 0.0000 0.0000 0.8599  4 Tc 2.70, 4 Os 2.71
Nb 0.0000 0.0000 0.3531  4 Tc 2.73, 4 Os 2.76
Tc 0.5000 0.5000 0.1022  4 Ti 2.70, 4 Nb 2.73
Os 0.5000 0.5000 0.6128  4 Ti 2.71, 4 Nb 2.76

total magnetization	0.00	μB/atom

***

Which structure is the most stable? The one labeled one).

***

one) DFT (PBE) results for crystalline NbTe2Os at its relaxed geometry.

a = 4.7598 Å, b = 4.7598 Å, c = 4.7598 Å
α = 60.00°, β = 60.00°, γ = 60.00°
Last column: nearest neighbours and their distance in Å.
Positions (direct):
Nb 0.0000 0.0000 0.0000  8 Te 2.91
Te 0.2500 0.2500 0.2500  4 Os 2.91, 4 Nb 2.91
Te 0.7500 0.7500 0.7500  4 Nb 2.91, 4 Os 2.91
Os 0.5000 0.5000 0.5000  8 Te 2.91

total magnetization	0.00	μB/atom

***

two) DFT (PBE) results for crystalline NbTe2Os at its relaxed geometry.

a = 6.3329 Å, b = 8.1495 Å, c = 8.6724 Å
α = 115.07°, β = 90.00°, γ = 90.00°
Last column: nearest neighbours and their distance in Å.
Positions (direct):
Nb 0.4665 0.1705 0.4701  4 Os 2.67-2.91, 4 Te 2.89-2.98
Nb 0.9665 0.3295 0.5299  4 Os 2.67-2.91, 4 Te 2.89-2.98
Nb 0.5335 0.8295 0.5299  4 Os 2.67-2.91, 4 Te 2.89-2.98
Nb 0.0335 0.6705 0.4701  4 Os 2.67-2.91, 4 Te 2.89-2.98
Te 0.7506 0.0986 0.1872  2 Os 2.66-2.73, 1 Nb 2.89
Te 0.2506 0.4014 0.8128  2 Os 2.66-2.73, 1 Nb 2.89
Te 0.2494 0.9014 0.8128  2 Os 2.66-2.73, 1 Nb 2.89
Te 0.7494 0.5986 0.1872  2 Os 2.66-2.73, 1 Nb 2.89
Te 0.7501 0.6644 0.7355  2 Os 2.77-2.80, 3 Nb 2.90-2.98
Te 0.2501 0.8356 0.2645  2 Os 2.77-2.80, 3 Nb 2.90-2.98
Te 0.2499 0.3356 0.2645  2 Os 2.77-2.80, 3 Nb 2.90-2.98
Te 0.7499 0.1644 0.7355  2 Os 2.77-2.80, 3 Nb 2.90-2.98
Os 0.6542 0.4492 0.3981  1 Os 2.53, 4 Te 2.66-2.80, 1 Nb 2.67
Os 0.1542 0.0508 0.6019  1 Os 2.53, 4 Te 2.66-2.80, 1 Nb 2.67
Os 0.3458 0.5508 0.6019  1 Os 2.53, 4 Te 2.66-2.80, 1 Nb 2.67
Os 0.8458 0.9492 0.3981  1 Os 2.53, 4 Te 2.66-2.80, 1 Nb 2.67

total magnetization	0.00	μB/atom

***

Which structure is the most stable? The one labeled two).